# 1
# HfFeCoAs

Crystalline HfFeCoAs at its relaxed geometry (PBE, OQMD via LeMat-Bulk).

Cell lengths 4.3548, 4.3548, 4.3548 Å; angles 60.00, 60.00, 60.00 degrees
With the nearest neighbours (Å) after each atom.
Positions (direct):
Hf 0.0000 0.0000 0.0000  4 As 2.67, 4 Fe 2.67
Fe 0.7500 0.7500 0.7500  4 Co 2.67, 4 Hf 2.67
Co 0.5000 0.5000 0.5000  4 Fe 2.67, 4 As 2.67
As 0.2500 0.2500 0.2500  4 Co 2.67, 4 Hf 2.67

Properties
- excess energy over the best structure of this formula in the dataset (eV per formula unit) = 0.92

# 2
# LiFeCoAs

Crystalline LiFeCoAs at its relaxed geometry (PBE, OQMD via LeMat-Bulk).

Cell lengths 3.9299, 3.9299, 3.9299 Å; angles 60.00, 60.00, 60.00 degrees
With the nearest neighbours (Å) after each atom.
Positions (direct):
Li 0.0000 0.0000 0.0000  4 Fe 2.41, 4 Co 2.41
Fe 0.7500 0.7500 0.7500  4 As 2.41, 4 Li 2.41
Co 0.2500 0.2500 0.2500  4 As 2.41, 4 Li 2.41
As 0.5000 0.5000 0.5000  4 Fe 2.41, 4 Co 2.41

Properties
- excess energy over the best structure of this formula in the dataset (eV per formula unit) = 0.00

# 3
# LiFeCoAs

Crystalline LiFeCoAs at its relaxed geometry (PBE, OQMD via LeMat-Bulk).

Cell lengths 4.0543, 4.0543, 4.0543 Å; angles 60.00, 60.00, 60.00 degrees
With the nearest neighbours (Å) after each atom.
Positions (direct):
Li 0.0000 0.0000 0.0000  4 Fe 2.48, 4 As 2.48
Fe 0.7500 0.7500 0.7500  4 Co 2.48, 4 Li 2.48
Co 0.5000 0.5000 0.5000  4 Fe 2.48, 4 As 2.48
As 0.2500 0.2500 0.2500  4 Co 2.48, 4 Li 2.48

Properties
- excess energy over the best structure of this formula in the dataset (eV per formula unit) = 0.09